{
  "formula": "ZrCu5",
  "functional": "PBEsol",
  "state": "optimized geometry",
  "e_tot_ev_per_atom": -5.26,
  "dos_at_fermi_per_ev_fu": 3.50,
  "formation_enthalpy_0k_ev_per_atom": -0.134,
  "volume_a3_per_cell": 78.0,
  "mass_density_g_cm3": 8.7,
  "total_magnetization_mub_per_fu": 0.00,
  "cell": [[-1.435, 3.850, 2.474], [0.605, 0.158, 4.755], [3.246, 2.971, 1.907]],
  "species": ["Cu", "Cu", "Cu", "Cu", "Cu", "Zr"],
  "fractional_positions": [[0.624, 0.624, 0.127], [0.250, 0.250, 0.250], [0.624, 0.127, 0.624], [0.624, 0.624, 0.624], [0.127, 0.624, 0.624], [0.000, 0.000, 0.000]]
}